Below is La3MgTl3 after structural relaxation, with properties calculated at the PBE level.

Output
Energy of formation from the pure elements   -109 meV per atom
Energy   -48.477 eV/cell
DOS(E_F)   10.0 states/eV/cell

a = 9.6969 Å, b = 9.6969 Å, c = 5.7917 Å
α = 90.00°, β = 90.00°, γ = 120.00°
Closest atoms and distances in Å follow each position.
Element x y z (fractional)
La 0.0050 0.2515 0.2500  5 Tl 3.29-3.58
La 0.2464 0.9950 0.2500  5 Tl 3.29-3.58
La 0.2515 0.2464 0.7500  5 Tl 3.29-3.58
La 0.7485 0.7536 0.2500  5 Tl 3.29-3.58
La 0.7536 0.0050 0.7500  5 Tl 3.29-3.58
La 0.9950 0.7485 0.7500  5 Tl 3.29-3.58
Mg 0.3333 0.6667 0.7500  3 Tl 3.05
Mg 0.6667 0.3333 0.2500  3 Tl 3.05
Tl 0.0145 0.5982 0.2500  1 Mg 3.05, 4 La 3.29-3.35, 2 Tl 3.40
Tl 0.4018 0.4163 0.2500  1 Mg 3.05, 4 La 3.29-3.35, 2 Tl 3.40
Tl 0.4163 0.0145 0.7500  1 Mg 3.05, 4 La 3.29-3.35, 2 Tl 3.40
Tl 0.5837 0.9855 0.2500  1 Mg 3.05, 4 La 3.29-3.35, 2 Tl 3.40
Tl 0.5982 0.5837 0.7500  1 Mg 3.05, 4 La 3.29-3.35, 2 Tl 3.40
Tl 0.9855 0.4018 0.7500  1 Mg 3.05, 4 La 3.29-3.35, 2 Tl 3.40